Compound: LaSiAu2
Source: the Alexandria database
Functional: PBEsol
Structure: relaxed

Computed properties:
The raw total energy comes out at -20.25 eV per cell. For the formation energy from raw total energies, the calculation gives -1.31 eV per formula unit. The value obtained for the density of states at the Fermi level is 2.47 states/eV per cell.

a = 3.357 Å, b = 3.357 Å, c = 7.149 Å
α = 90.00°, β = 90.00°, γ = 90.00°
Positions (direct):
La  0.000  0.000  0.000
Si  0.000  0.000  0.500
Au  0.500  0.500  0.298
Au  0.500  0.500  0.702

---

Compound: LaSiAu3
Source: the Alexandria database
Functional: PBEsol
Structure: relaxed

Computed properties:
The raw total energy comes out at -24.85 eV per cell. For the formation energy from raw total energies, the calculation gives -1.99 eV per formula unit. The value obtained for the density of states at the Fermi level is 2.57 states/eV per cell.

a = 4.788 Å, b = 4.788 Å, c = 4.788 Å
α = 90.00°, β = 90.00°, γ = 90.00°
Positions (direct):
La  0.000  0.000  0.000
Si  0.500  0.500  0.500
Au  0.000  0.500  0.500
Au  0.500  0.000  0.500
Au  0.500  0.500  0.000